Entry 1:
BaBeCr2O8: optimized geometry, PBE+U.

## Properties
Magnetization ... 0.0 μB per formula unit
D(E_F) ... 0.000 states/eV/atom
Energy ... -6.77 eV per atom

Geometry as CIF:
```
data_BaBeCr2O8
_cell_length_a 5.2423
_cell_length_b 5.2423
_cell_length_c 7.1743
_cell_angle_alpha 90.00
_cell_angle_beta 90.00
_cell_angle_gamma 120.00
_space_group_name_H-M_alt 'P -3'
_space_group_IT_number 147
loop_
_space_group_symop_operation_xyz
'x,y,z'
'-x,-y,-z'
'-y,x-y,z'
'y,-x+y,-z'
'-x+y,-x,z'
'x-y,x,-z'
loop_
_atom_site_label
_atom_site_type_symbol
_atom_site_fract_x
_atom_site_fract_y
_atom_site_fract_z
_atom_site_occupancy
Ba1 Ba 0.0000 0.0000 0.0000 1
Be1 Be 0.0000 0.0000 0.5000 1
Cr1 Cr 0.3333 0.6667 0.7235 1
O1 O 0.1186 0.3201 0.6543 1
O2 O 0.3333 0.6667 0.9557 1
```

Entry 2:
Ba2BeCr2O6: optimized geometry, PBE+U.

## Properties
Magnetization ... 0.0 μB per formula unit
Energy ... -6.45 eV per atom

Geometry as CIF:
```
data_Ba2BeCr2O6
_cell_length_a 5.7553
_cell_length_b 5.7553
_cell_length_c 15.4081
_cell_angle_alpha 90.00
_cell_angle_beta 90.00
_cell_angle_gamma 120.00
_space_group_name_H-M_alt 'R -3 m'
_space_group_IT_number 166
_space_group_name_Hall '-R 3 2"'
loop_
_atom_site_label
_atom_site_type_symbol
_atom_site_fract_x
_atom_site_fract_y
_atom_site_fract_z
_atom_site_occupancy
Ba1 Ba 0.0000 0.0000 0.2292 1
Be1 Be 0.0000 0.0000 0.0000 1
Cr1 Cr 0.0000 0.0000 0.4363 1
O1 O 0.0160 0.5080 0.7415 1
```